Arrangement A

Compound: Tl2TcAs
Source: Alexandria
Functional: PBE-GGA
Structure: relaxed

Unit cell a=8.0222 b=8.0222 c=6.3786 alpha=51.04 beta=51.04 gamma=90.00
Last column: nearest neighbours and their distance in Å.
Positions (direct):
1 As 0.5000 0.5000 0.0000  2 Tc 2.92, 4 Tl 2.96
2 As 0.2500 0.7500 0.5000  2 Tc 2.92, 4 Tl 2.96
3 Tl 0.6309 0.1250 0.2500  2 Tc 2.90, 2 Tl 2.92, 2 As 2.96
4 Tl 0.1191 0.6250 0.2500  2 Tc 2.90, 2 Tl 2.92, 2 As 2.96
5 Tl 0.3750 0.3691 0.7500  2 Tc 2.90, 2 Tl 2.92, 2 As 2.96
6 Tl 0.8750 0.8809 0.7500  2 Tc 2.90, 2 Tl 2.92, 2 As 2.96
7 Tc 0.0000 0.0000 0.0000  4 Tl 2.90, 2 As 2.92
8 Tc 0.7500 0.2500 0.5000  4 Tl 2.90, 2 As 2.92



Arrangement B

Compound: Tl2TcAs
Source: Alexandria
Functional: PBE-GGA
Structure: relaxed

Unit cell a=5.8478 b=5.7093 c=3.1887 alpha=79.66 beta=78.77 gamma=117.24
Last column: nearest neighbours and their distance in Å.
Positions (direct):
1 As 0.0000 0.5000 0.5000  4 Tl 3.01, 2 Tc 3.05, 2 As 3.19
2 Tl 0.0000 0.0000 0.0000  2 As 3.01, 2 Tc 3.01, 4 Tl 3.05-3.19
3 Tl 0.5000 0.0000 0.5000  2 Tc 3.01, 2 As 3.01, 4 Tl 3.05-3.19
4 Tc 0.5000 0.5000 0.0000  4 Tl 3.01, 2 As 3.05, 2 Tc 3.19



Winner for stability: arrangement B



Arrangement A

Compound: B5C7
Source: Alexandria
Functional: PBE-GGA
Structure: relaxed

Unit cell a=4.7102 b=4.6522 c=4.4111 alpha=101.65 beta=95.80 gamma=120.82
Last column: nearest neighbours and their distance in Å.
Positions (direct):
1 B 0.1748 0.9012 0.4864  3 C 1.56-1.60
2 B 0.5618 0.4889 0.4793  2 C 1.61, 1 B 1.67
3 B 0.3126 0.3775 0.1230  2 C 1.62-1.64, 1 B 1.67
4 B 0.2042 0.4808 0.6143  2 C 1.59-1.62
5 B 0.6855 0.3411 0.0369  3 C 1.65-1.66
6 C 0.0520 0.7253 0.1137  2 C 1.54-1.61, 2 B 1.58-1.66
7 C 0.3259 0.6847 0.9860  2 C 1.54-1.59, 2 B 1.59-1.64
8 C 0.8158 0.1427 0.5009  3 C 1.53-1.58, 1 B 1.62
9 C 0.6991 0.0236 0.1328  3 C 1.54-1.59, 1 B 1.65
10 C 0.5642 0.2101 0.6440  1 C 1.53, 3 B 1.60-1.65
11 C 0.9710 0.9869 0.9964  3 C 1.51-1.61, 1 B 1.62
12 C 0.8831 0.8871 0.6364  2 C 1.51-1.58, 2 B 1.56-1.61



Arrangement B

Compound: B5C7
Source: Alexandria
Functional: PBE-GGA
Structure: relaxed

Unit cell a=4.6389 b=4.7519 c=5.1746 alpha=107.45 beta=109.21 gamma=47.41
Last column: nearest neighbours and their distance in Å.
Positions (direct):
1 B 0.9720 0.0562 0.0404  2 C 1.58-1.65
2 B 0.2743 0.7094 0.2855  2 C 1.59-1.63, 1 B 1.68
3 B 0.6427 0.7042 0.2939  2 C 1.59-1.61, 1 B 1.68
4 B 0.9092 0.3993 0.5877  3 C 1.60-1.69
5 B 0.2972 0.6994 0.7066  3 C 1.57-1.63
6 C 0.3384 0.3236 0.1646  3 C 1.52-1.59, 1 B 1.59
7 C 0.5765 0.0897 0.4158  3 C 1.52-1.58, 1 B 1.59
8 C 0.9696 0.0118 0.5029  1 C 1.52, 3 B 1.57-1.63
9 C 0.3403 0.3195 0.6621  2 C 1.58, 2 B 1.63-1.69
10 C 0.5801 0.0797 0.9170  3 C 1.57-1.59, 1 B 1.65
11 C 0.6622 0.6891 0.8500  2 C 1.52-1.57, 2 B 1.58-1.68
12 C 0.9374 0.4182 0.0735  2 C 1.52, 2 B 1.58-1.61



Winner for stability: arrangement B



Arrangement A

Compound: NdSmCoCu
Source: Alexandria
Functional: PBE-GGA
Structure: relaxed

Unit cell a=4.9518 b=4.9518 c=4.9518 alpha=60.00 beta=60.00 gamma=60.00
Last column: nearest neighbours and their distance in Å.
Positions (direct):
1 Co 0.7500 0.7500 0.7500  4 Nd 3.03, 4 Sm 3.03
2 Nd 0.5000 0.5000 0.5000  4 Cu 3.03, 4 Co 3.03
3 Cu 0.2500 0.2500 0.2500  4 Sm 3.03, 4 Nd 3.03
4 Sm 0.0000 0.0000 0.0000  4 Co 3.03, 4 Cu 3.03



Arrangement B

Compound: NdSmCoCu
Source: Alexandria
Functional: PBE-GGA
Structure: relaxed

Unit cell a=3.9005 b=4.3349 c=5.5905 alpha=90.00 beta=110.42 gamma=90.00
Last column: nearest neighbours and their distance in Å.
Positions (direct):
1 Nd 0.1415 0.0000 0.2829  3 Co 2.95-3.02, 4 Cu 3.02
2 Sm 0.8623 0.5000 0.7246  3 Cu 2.89-3.10, 4 Co 3.00
3 Co 0.4299 0.0000 0.8598  2 Cu 2.60
4 Cu 0.5664 0.5000 0.1327  2 Co 2.60, 2 Sm 2.89



Winner for stability: arrangement B



Arrangement A

Compound: ZrSF2
Source: Alexandria
Functional: PBE-GGA
Structure: relaxed

Unit cell a=4.1610 b=4.1610 c=4.1610 alpha=60.00 beta=60.00 gamma=60.00
Last column: nearest neighbours and their distance in Å.
Positions (direct):
1 S 0.0000 0.0000 0.0000  8 F 2.55
2 Zr 0.5000 0.5000 0.5000  8 F 2.55
3 F 0.2500 0.2500 0.2500  4 S 2.55, 4 Zr 2.55
4 F 0.7500 0.7500 0.7500  4 Zr 2.55, 4 S 2.55



Arrangement B

Compound: ZrSF2
Source: Alexandria
Functional: PBE-GGA
Structure: relaxed

Unit cell a=10.3736 b=10.3736 c=10.3736 alpha=16.09 beta=16.09 gamma=16.09
Last column: nearest neighbours and their distance in Å.
Positions (direct):
1 S 0.0000 0.0000 0.0000  6 S 2.90
2 Zr 0.5000 0.5000 0.5000  6 F 2.25
3 F 0.8823 0.8823 0.8823  3 Zr 2.25
4 F 0.1177 0.1177 0.1177  3 Zr 2.25



Winner for stability: arrangement A



Arrangement A

Compound: LiVSe3
Source: Alexandria
Functional: PBE-GGA
Structure: relaxed

Unit cell a=5.4151 b=5.4151 c=5.4151 alpha=80.39 beta=80.39 gamma=80.39
Last column: nearest neighbours and their distance in Å.
Positions (direct):
1 V 0.8804 0.8804 0.8804  3 Se 2.25
2 Se 0.6234 0.1278 0.6234  1 V 2.25
3 Se 0.1278 0.6234 0.6234  1 V 2.25
4 Se 0.6234 0.6234 0.1278  1 V 2.25
5 Li 0.6201 0.6201 0.6201  6 Se 2.66-2.76, 1 V 2.82



Arrangement B

Compound: LiVSe3
Source: Alexandria
Functional: PBE-GGA
Structure: relaxed

Unit cell a=19.8721 b=8.0776 c=8.0776 alpha=154.22 beta=153.12 gamma=26.88
Last column: nearest neighbours and their distance in Å.
Positions (direct):
1 V 0.6726 0.9638 0.0362  5 Se 2.29-2.56
2 V 0.3274 0.0362 0.9638  5 Se 2.29-2.56
3 Se 0.2705 0.7038 0.2962  2 V 2.45, 1 Li 2.70
4 Se 0.7295 0.2962 0.7038  2 V 2.45, 1 Li 2.70
5 Se 0.0752 0.2588 0.7412  1 V 2.29
6 Se 0.9248 0.7412 0.2588  1 V 2.29
7 Se 0.4472 0.7400 0.2600  3 V 2.56-2.67, 1 Li 2.70
8 Se 0.5528 0.2600 0.7400  3 V 2.56-2.67, 1 Li 2.70
9 Li 0.8499 0.9973 0.0027  5 Se 2.57-2.74
10 Li 0.1501 0.0027 0.9973  5 Se 2.57-2.74



Winner for stability: arrangement B